# SbTe2PdF, optimized geometry, DFT PBE-GGA
data_SbTe2PdF
_chemical_formula_sum 'Sb1 Te2 Pd1 F1'
_cell_length_a 5.2507
_cell_length_b 5.2507
_cell_length_c 5.2294
_cell_angle_alpha 90.00
_cell_angle_beta 90.00
_cell_angle_gamma 90.00
_symmetry_space_group_name_H-M 'P 4/m m m'
_symmetry_Int_Tables_number 123
_symmetry_space_group_name_Hall '-P 4 2'
loop_
_atom_site_label
_atom_site_type_symbol
_atom_site_fract_x
_atom_site_fract_y
_atom_site_fract_z
Sb1 Sb 0.0000 0.0000 0.0000
Te1 Te 0.0000 0.5000 0.5000
Pd1 Pd 0.0000 0.0000 0.5000
F1 F 0.5000 0.5000 0.0000
# uncorrected formation energy: 122 meV/atom
# mass density: 5.786 Mg/m³
# magnetic moment: 0.00 μB per cell
# energy above the lowest structure with this stoichiometry: 0 meV per atom
# total DFT energy (no corrections): -16.86 eV per cell


# Sb2TePdF, optimized geometry, DFT PBE-GGA
data_Sb2TePdF
_chemical_formula_sum 'Sb2 Te1 Pd1 F1'
_cell_length_a 4.6780
_cell_length_b 4.6780
_cell_length_c 5.3741
_cell_angle_alpha 90.00
_cell_angle_beta 90.00
_cell_angle_gamma 90.00
_symmetry_space_group_name_H-M 'P 4/m m m'
_symmetry_Int_Tables_number 123
_symmetry_space_group_name_Hall '-P 4 2'
loop_
_atom_site_label
_atom_site_type_symbol
_atom_site_fract_x
_atom_site_fract_y
_atom_site_fract_z
Sb1 Sb 0.0000 0.5000 0.0000
Te1 Te 0.0000 0.0000 0.5000
Pd1 Pd 0.5000 0.5000 0.5000
F1 F 0.0000 0.0000 0.0000
# uncorrected formation energy: 69 meV/atom
# mass density: 7.011 Mg/m³
# magnetic moment: 0.00 μB per cell
# energy above the lowest structure with this stoichiometry: 0 meV per atom
# total DFT energy (no corrections): -18.10 eV per cell


# SbTe2PdF, optimized geometry, DFT PBE-GGA
data_SbTe2PdF
_chemical_formula_sum 'Sb1 Te2 Pd1 F1'
_cell_length_a 5.1848
_cell_length_b 5.1848
_cell_length_c 4.4950
_cell_angle_alpha 90.00
_cell_angle_beta 90.00
_cell_angle_gamma 90.00
_symmetry_space_group_name_H-M 'P 4/m m m'
_symmetry_Int_Tables_number 123
_symmetry_space_group_name_Hall '-P 4 2'
loop_
_atom_site_label
_atom_site_type_symbol
_atom_site_fract_x
_atom_site_fract_y
_atom_site_fract_z
Sb1 Sb 0.0000 0.0000 0.0000
Te1 Te 0.0000 0.5000 0.5000
Pd1 Pd 0.5000 0.5000 0.0000
F1 F 0.0000 0.0000 0.5000
# uncorrected formation energy: 162 meV/atom
# mass density: 6.904 Mg/m³
# magnetic moment: 0.00 μB per cell
# energy above the lowest structure with this stoichiometry: 40 meV per atom
# total DFT energy (no corrections): -16.66 eV per cell